Compound: TiGaFe2
Source: Alexandria
Functional: PBE-GGA
Structure: relaxed

E_tot	-7.25	eV/atom
total moment	0.670	Bohr magnetons per cell

Unit cell a=2.9608 b=2.9608 c=5.6959 alpha=90.00 beta=90.00 gamma=90.00
Atoms (fractional coordinates):
Ti1 0.0000 0.0000 0.0000
Ga1 0.0000 0.0000 0.5000
Fe1 0.5000 0.5000 0.2534
Fe2 0.5000 0.5000 0.7466